Material: NaScCu2Ag
Method: DFT, PBE
State: relaxed

Its crystal system is tetragonal. The formation energy from the elements comes out at 0.5931 eV per atom.

The space group is P4/mmm (No. 123) and the conventional cell measures 4.935, 4.935 and 4.980 Å, with angles of 90.00, 90.00 and 90.00 degrees. Symmetry generates all atoms from Na at (0.000, 0.000, 0.000), Sc at (0.500, 0.500, 0.000), Cu at (0.000, 0.500, 0.500) and Ag at (0.500, 0.500, 0.500).